No. 1
DFT (PBE-GGA) results for a geometry-optimized LiLaBN2 structure.

The structure in CIF format:
```
data_LiLaBN2
_chemical_formula_sum 'Li2 La2 B2 N4'
_symmetry_space_group_name_H-M 'P 1 2/c 1'
_symmetry_Int_Tables_number 13
_cell_length_a 5.5362
_cell_length_b 3.8515
_cell_length_c 6.0848
_cell_angle_alpha 90.00
_cell_angle_beta 103.95
_cell_angle_gamma 90.00
loop_
_symmetry_equiv_pos_as_xyz
'x,y,z'
'-x,-y,-z'
'-x,y,-z+1/2'
'x,-y,z+1/2'
loop_
_atom_site_label
_atom_site_fract_x
_atom_site_fract_y
_atom_site_fract_z
Li1 0.0000 0.0232 0.2500
La1 0.5000 0.2355 0.7500
B1 0.0000 0.5000 0.0000
N1 0.1998 0.2804 0.0327
```

## Properties
The calculation puts the uncorrected formation energy at -0.9179 eV per atom. Its density of states at the Fermi level is 1.59 states/eV/f.u.

No. 2
DFT (PBE-GGA) results for a geometry-optimized Li3La2Ni12B structure.

The structure in CIF format:
```
data_Li3La2Ni12B
_chemical_formula_sum 'Li9 La6 Ni36 B3'
_symmetry_space_group_name_H-M 'R -3 m'
_symmetry_Int_Tables_number 166
_symmetry_space_group_name_Hall '-R 3 2"'
_cell_length_a 6.1178
_cell_length_b 6.1178
_cell_length_c 23.3360
_cell_angle_alpha 90.00
_cell_angle_beta 90.00
_cell_angle_gamma 120.00
loop_
_atom_site_label
_atom_site_fract_x
_atom_site_fract_y
_atom_site_fract_z
Li1 0.0000 0.5000 0.0000
La1 0.0000 0.0000 0.1573
Ni1 0.0676 0.5338 0.1040
Ni2 0.0726 0.5363 0.6136
B1 0.0000 0.0000 0.5000
```

## Properties
Its density of states at the Fermi level is 17.64 states/eV/f.u. The calculation puts the formation energy at 0.09 eV/atom.